DFT (PBE-GGA) results for a relaxed SmTmIn crystal.

The value obtained for the energy relative to the lowest polymorph listed for this composition is 10.8 kJ/mol of atoms. The total energy is -4.207 eV per atom. Its volume is 29.11 Å³ per atom. Its calculated formation energy is -230 meV per atom.

It has space group P3m1 (No. 156), with a = 5.2366 Å, b = 5.2366 Å, c = 3.6776 Å, α = 90.00°, β = 90.00° and γ = 120.00°. The distinct sites, in fractional coordinates, are Sm at (0.0000, 0.0000, 0.0000), Tm at (0.6667, 0.3333, 0.4505) and In at (0.3333, 0.6667, 0.6321).

---

DFT (PBE-GGA) results for a relaxed SrSn4Hg2 crystal.

The total energy is -2.773 eV per atom. Its volume is 28.97 Å³ per atom. Its calculated formation energy is -159 meV per atom.

It has space group Cmmm (No. 65), with a = 5.033 Å, b = 19.052 Å, c = 4.229 Å, α = 90.00°, β = 90.00° and γ = 90.00°. The distinct sites, in fractional coordinates, are Sr at (0.000, 0.000, 0.000), Sn at (0.000, 0.168, 0.500), Sn at (0.000, 0.304, 0.000) and Hg at (0.000, 0.425, 0.500).

---

DFT (PBE-GGA) results for a relaxed LaDy3Ag2 crystal.

The total energy is -4.266 eV per atom. Its volume is 27.57 Å³ per atom. Its calculated formation energy is -193 meV per atom.

It has space group P4/mmm (No. 123), with a = 3.646 Å, b = 3.646 Å, c = 12.448 Å, α = 90.00°, β = 90.00° and γ = 90.00°. The distinct sites, in fractional coordinates, are La at (0.000, 0.000, 0.000), Dy at (0.500, 0.500, 0.211), Dy at (0.500, 0.500, 0.500) and Ag at (0.000, 0.000, 0.353).

---

DFT (PBE-GGA) results for a relaxed LiLa2Co crystal.

The total energy is -4.710 eV per atom. Its volume is 25.94 Å³ per atom. Its calculated formation energy is 8 meV per atom.

It has space group P2/m (No. 10), with a = 3.623 Å, b = 3.551 Å, c = 8.111 Å, α = 90.00°, β = 96.06° and γ = 90.00°. The distinct sites, in fractional coordinates, are Li at (0.000, 0.000, 0.000), La at (0.433, 0.500, 0.699) and Co at (0.000, 0.000, 0.500).

---

DFT (PBE-GGA) results for a relaxed ZrCuRu2 crystal.

The total energy is -7.956 eV per atom. Its volume is 15.22 Å³ per atom. Its calculated formation energy is -157 meV per atom.

It has space group P4/mmm (No. 123), with a = 3.961 Å, b = 3.961 Å, c = 3.881 Å, α = 90.00°, β = 90.00° and γ = 90.00°. The distinct sites, in fractional coordinates, are Zr at (0.000, 0.000, 0.000), Cu at (0.500, 0.500, 0.000) and Ru at (0.000, 0.500, 0.500).

---

DFT (PBE-GGA) results for a relaxed Zr5In2Ge2 crystal.

The total energy is -6.900 eV per atom. Its volume is 21.66 Å³ per atom. Its calculated formation energy is -517 meV per atom.

It has space group Cmce (No. 64), with a = 14.512 Å, b = 7.355 Å, c = 7.307 Å, α = 90.00°, β = 90.00° and γ = 90.00°. The distinct sites, in fractional coordinates, are Zr at (0.000, 0.000, 0.000), Zr at (0.123, 0.177, 0.325), In at (0.217, 0.000, 0.000) and Ge at (0.000, 0.127, 0.628).

---

DFT (PBE-GGA) results for a relaxed LaZrPb2 crystal.

The total energy is -5.207 eV per atom. Its volume is 29.49 Å³ per atom. Its calculated formation energy is 16 meV per atom.

It has space group P4mm (No. 99), with a = 3.391 Å, b = 3.391 Å, c = 10.260 Å, α = 90.00°, β = 90.00° and γ = 90.00°. The distinct sites, in fractional coordinates, are La at (0.000, 0.000, 0.000), Zr at (0.500, 0.500, 0.756), Pb at (0.000, 0.000, 0.537) and Pb at (0.500, 0.500, 0.266).

---

DFT (PBE-GGA) results for a relaxed ErMgScZn crystal.

The value obtained for the energy relative to the lowest polymorph listed for this composition is 3.3 kJ/mol of atoms. The total energy is -3.608 eV per atom. Its volume is 22.42 Å³ per atom. Its calculated formation energy is -167 meV per atom.

It has space group F-43m (No. 216), with a = 7.105 Å, b = 7.105 Å, c = 7.105 Å, α = 90.00°, β = 90.00° and γ = 90.00°. The distinct sites, in fractional coordinates, are Er at (0.000, 0.000, 0.000), Mg at (0.250, 0.250, 0.750), Sc at (0.000, 0.000, 0.500) and Zn at (0.250, 0.250, 0.250).